# KOs2Au (meta-GGA SCAN, single point on PBEsol structure)
data_KOs2Au
_cell_length_a 3.608
_cell_length_b 5.085
_cell_length_c 8.692
_cell_angle_alpha 90.00
_cell_angle_beta 90.00
_cell_angle_gamma 90.00
_symmetry_space_group_name_H-M 'I m m 2'
_symmetry_Int_Tables_number 44
_symmetry_space_group_name_Hall 'I 2 -2'
loop_
_atom_site_label
_atom_site_type_symbol
_atom_site_fract_x
_atom_site_fract_y
_atom_site_fract_z
K1 K 0.000 0.000 0.000
Os1 Os 0.000 0.000 0.467
Os2 Os 0.000 0.500 0.796
Au1 Au 0.000 0.500 0.207
# energy above the most stable polymorph in this dataset	0	meV per atom
# ΔH_f (0 K)	1.246	eV/atom
# size of the total moment	0.0	μB/f.u.